Here is crystalline PaAl2NiO8 at its relaxed geometry from the Alexandria database. Energies are from PBE with a Hubbard U.

Unit cell a=5.6837 b=5.6837 c=5.7240 alpha=90.00 beta=90.00 gamma=120.00
With the nearest neighbours (Å) after each atom.
Element x y z (fractional)
Pa 0.0000 0.0000 0.0000  6 O 2.19
Al 0.3333 0.6667 0.3545  4 O 1.77-1.84
Al 0.6667 0.3333 0.6455  4 O 1.77-1.84
Ni 0.0000 0.0000 0.5000  6 O 2.10
O 0.1598 0.8354 0.2620  1 Al 1.77
O 0.1646 0.3243 0.2620  1 Al 1.77
O 0.3243 0.1598 0.7380  1 Al 1.77
O 0.3333 0.6667 0.6761  1 Al 1.84
O 0.6667 0.3333 0.3239  1 Al 1.84
O 0.6757 0.8402 0.2620  1 Al 1.77
O 0.8354 0.6757 0.7380  1 Al 1.77
O 0.8402 0.1646 0.7380  1 Al 1.77

Properties
**Uncorrected energy**: -6.970 eV per atom
**Space group**: P-3, No. 147
**Total magnetization**: 5.0 μB/cell
**Calculated volume**: 13.3 A^3/atom